Entry 1:
## LiAgAu2 (PBEsol)

Data for a relaxed LiAgAu2 crystal.

POSCAR file:
```
LiAgAu2
1.0
4.506 0.000 0.000
2.253 3.902 0.000
2.253 1.301 3.679
Au Ag Li
2 1 1
Cartesian
0.000 0.000 0.000
6.759 3.902 2.759
4.506 2.602 1.840
2.253 1.301 0.920
```

Formation enthalpy at 0 K: -0.255 eV/atom
Energy relative to the lowest polymorph listed for this composition: 60 meV per atom
Energy: -3.54 eV per atom



Entry 2:
## Y2AsP (PBEsol)

Data for a relaxed Y2AsP crystal.

POSCAR file:
```
Y2AsP
1.0
4.014 0.000 0.000
0.000 4.014 0.000
0.000 0.000 5.675
Y P As
2 1 1
Cartesian
2.007 2.007 0.000
0.000 0.000 2.838
2.007 2.007 2.838
0.000 0.000 0.000
```

Formation enthalpy at 0 K: -1.616 eV/atom
Energy: -7.75 eV per atom



Entry 3:
## Y2ReNi (PBEsol)

Data for a relaxed Y2ReNi crystal.

POSCAR file:
```
Y2ReNi
1.0
4.673 0.000 0.000
2.337 4.047 0.000
2.337 1.349 3.815
Ni Re Y
1 1 2
Cartesian
4.673 2.698 1.908
7.010 4.047 2.862
0.000 0.000 0.000
2.337 1.349 0.954
```

Formation enthalpy at 0 K: 0.406 eV/atom
Energy: -7.88 eV per atom



Please write out number 1 again, unchanged.
## LiAgAu2 (PBEsol)

Data for a relaxed LiAgAu2 crystal.

POSCAR file:
```
LiAgAu2
1.0
4.506 0.000 0.000
2.253 3.902 0.000
2.253 1.301 3.679
Au Ag Li
2 1 1
Cartesian
0.000 0.000 0.000
6.759 3.902 2.759
4.506 2.602 1.840
2.253 1.301 0.920
```

Formation enthalpy at 0 K: -0.255 eV/atom
Energy relative to the lowest polymorph listed for this composition: 60 meV per atom
Energy: -3.54 eV per atom



> Which of these has the lowest energy?

Y2ReNi



> energy of number 3 (Y2ReNi)?

-7.88 eV per atom